{"formula": "La2CuNi", "functional": "GGA-PBEsol", "state": "optimized geometry", "lattice": [[3.525, 0.000, 0.000], [0.000, 4.996, 0.000], [0.000, 0.000, 4.996]], "species": ["Ni", "Cu", "La", "La"], "frac_coords": [[0.500, 0.000, 0.000], [0.500, 0.500, 0.500], [0.000, 0.000, 0.500], [0.000, 0.500, 0.000]], "e_form_mev_per_atom": -128, "space_group": "P4/mmm (123)"}

=====

{"formula": "La2CuNi", "functional": "GGA-PBEsol", "state": "optimized geometry", "lattice": [[-2.255, 2.453, 1.148], [-0.158, -1.610, 3.130], [5.411, 3.955, 2.309]], "species": ["Ni", "Cu", "La", "La"], "frac_coords": [[0.500, 0.500, 0.000], [0.500, 0.500, 0.500], [0.997, 0.000, 0.761], [0.003, 0.000, 0.239]], "e_form_mev_per_atom": -132, "space_group": "P2/m (10)"}

=====

{"formula": "LaCu2Ni2", "functional": "GGA-PBEsol", "state": "optimized geometry", "lattice": [[-3.454, 1.565, -0.212], [-1.540, -3.226, 1.283], [2.985, 2.585, 4.461]], "species": ["Ni", "Ni", "Cu", "Cu", "La"], "frac_coords": [[0.391, 0.391, 0.781], [0.609, 0.609, 0.219], [0.250, 0.750, 0.500], [0.750, 0.250, 0.500], [0.000, 0.000, 0.000]], "e_form_mev_per_atom": -138, "space_group": "I4/mmm (139)"}

=====

{"formula": "La2CuNi", "functional": "GGA-PBEsol", "state": "optimized geometry", "lattice": [[-2.914, -2.224, -1.146], [2.828, -2.583, -2.175], [2.054, -1.930, 4.961]], "species": ["Ni", "Cu", "La", "La"], "frac_coords": [[0.684, 0.000, 0.368], [0.555, 0.500, 0.111], [0.985, 0.000, 0.969], [0.260, 0.500, 0.521]], "e_form_mev_per_atom": -200, "space_group": "Amm2 (38)"}

=====

{"formula": "LaCuNi4", "functional": "GGA-PBEsol", "state": "optimized geometry", "lattice": [[-1.965, 2.230, -2.561], [-4.040, -0.304, 2.836], [3.244, 3.665, 0.703]], "species": ["La", "Cu", "Ni", "Ni", "Ni", "Ni"], "frac_coords": [[0.000, 0.000, 0.000], [0.000, 0.667, 0.333], [0.000, 0.333, 0.667], [0.500, 0.002, 0.501], [0.500, 0.499, 0.998], [0.500, 0.499, 0.501]], "e_form_mev_per_atom": -260, "space_group": "P-6m2 (187)"}

=====

{"formula": "LaCu2Ni3", "functional": "GGA-PBEsol", "state": "optimized geometry", "lattice": [[-0.186, -1.490, -3.600], [4.829, 1.113, -0.710], [-1.290, -4.445, 1.906]], "species": ["La", "Cu", "Cu", "Ni", "Ni", "Ni"], "frac_coords": [[0.000, 0.000, 0.000], [0.000, 0.667, 0.333], [0.000, 0.333, 0.667], [0.500, 0.500, 0.500], [0.500, 0.000, 0.500], [0.500, 0.500, 0.000]], "e_form_mev_per_atom": -248, "space_group": "P6/mmm (191)"}

=====

{"formula": "La4CuNiO8", "functional": "GGA-PBEsol", "state": "optimized geometry", "lattice": [[3.770, 0.000, 0.000], [-1.885, 6.677, 0.008], [0.000, -2.113, 7.239]], "species": ["La", "La", "La", "La", "Cu", "Ni", "O", "O", "O", "O", "O", "O", "O", "O"], "frac_coords": [[0.639, 0.278, 0.818], [0.361, 0.722, 0.182], [0.635, 0.271, 0.316], [0.365, 0.729, 0.684], [0.000, 0.000, 0.500], [0.000, 0.000, 0.000], [0.500, 0.000, 0.500], [0.500, 0.000, 0.000], [0.823, 0.647, 0.918], [0.177, 0.353, 0.082], [0.814, 0.627, 0.396], [0.186, 0.373, 0.604], [0.998, 0.996, 0.752], [0.002, 0.004, 0.248]], "raw_formation_energy_ev_per_atom": -2.64, "space_group": "C2/m (12)"}

=====

{"formula": "Sr5La5CuNi4O20", "functional": "GGA-PBEsol", "state": "optimized geometry", "lattice": [[6.676, 0.009, 0.035], [1.081, 8.451, -0.011], [3.240, -0.412, 7.866]], "species": ["Sr", "Sr", "Sr", "Sr", "Sr", "La", "La", "La", "La", "La", "Cu", "Ni", "Ni", "Ni", "Ni", "O", "O", "O", "O", "O", "O", "O", "O", "O", "O", "O", "O", "O", "O", "O", "O", "O", "O", "O", "O"], "frac_coords": [[0.282, 0.872, 0.617], [0.283, 0.672, 0.014], [0.281, 0.472, 0.417], [0.282, 0.271, 0.814], [0.712, 0.128, 0.386], [0.727, 0.928, 0.783], [0.725, 0.729, 0.184], [0.724, 0.527, 0.582], [0.724, 0.326, 0.984], [0.267, 0.073, 0.219], [0.006, 0.999, 0.998], [0.005, 0.799, 0.399], [0.008, 0.599, 0.798], [0.005, 0.400, 0.198], [0.001, 0.200, 0.599], [0.996, 0.898, 0.205], [0.992, 0.001, 0.502], [0.683, 0.823, 0.496], [0.992, 0.699, 0.602], [0.349, 0.967, 0.902], [0.994, 0.796, 0.901], [0.684, 0.629, 0.897], [0.993, 0.501, 0.002], [0.331, 0.775, 0.300], [0.997, 0.600, 0.301], [0.682, 0.442, 0.292], [0.990, 0.302, 0.403], [0.332, 0.566, 0.700], [0.990, 0.401, 0.704], [0.681, 0.235, 0.704], [0.994, 0.103, 0.799], [0.330, 0.360, 0.104], [0.994, 0.205, 0.102], [0.651, 0.033, 0.098], [0.315, 0.166, 0.496]], "raw_formation_energy_ev_per_atom": -2.40, "space_group": "P1 (1)"}

=====

{"formula": "LaCuSi2Ni", "functional": "GGA-PBEsol", "state": "optimized geometry", "lattice": [[-1.936, 2.261, 2.812], [-3.446, -0.213, -2.202], [1.432, -5.035, 2.053]], "species": ["Ni", "Si", "Si", "Cu", "La"], "frac_coords": [[0.250, 0.750, 0.500], [0.372, 0.372, 0.744], [0.628, 0.628, 0.256], [0.750, 0.250, 0.500], [0.000, 0.000, 0.000]], "raw_formation_energy_ev_per_atom": -0.73, "space_group": "I-4m2 (119)"}

=====

{"formula": "La2CuO4", "functional": "GGA-PBEsol", "state": "optimized geometry", "lattice": [[-1.274, 5.107, 0.206], [0.081, -0.199, 5.434], [6.940, -0.980, -0.140]], "species": ["La", "La", "La", "La", "Cu", "Cu", "O", "O", "O", "O", "O", "O", "O", "O"], "frac_coords": [[0.361, 0.987, 0.723], [0.639, 0.013, 0.277], [0.861, 0.513, 0.723], [0.139, 0.487, 0.277], [0.000, 0.000, 0.000], [0.500, 0.500, 0.000], [0.260, 0.750, 0.019], [0.814, 0.945, 0.629], [0.686, 0.445, 0.371], [0.240, 0.250, 0.981], [0.760, 0.750, 0.019], [0.314, 0.555, 0.629], [0.186, 0.055, 0.371], [0.740, 0.250, 0.981]], "relative_energy_mev_per_atom": 0.0, "raw_formation_energy_ev_per_atom": -2.63, "space_group": "Cmce (64)"}

=====

{"formula": "LaCu2O4", "functional": "GGA-PBEsol", "state": "optimized geometry", "lattice": [[-2.391, -5.049, -1.662], [2.566, 0.231, 5.825], [-5.120, 2.677, -0.766]], "species": ["La", "La", "Cu", "Cu", "Cu", "Cu", "O", "O", "O", "O", "O", "O", "O", "O"], "frac_coords": [[0.000, 0.000, 0.000], [0.250, 0.500, 0.750], [0.625, 0.250, 0.875], [0.625, 0.250, 0.375], [0.625, 0.750, 0.375], [0.125, 0.750, 0.375], [0.273, 0.099, 0.406], [0.826, 0.099, 0.693], [0.977, 0.401, 0.344], [0.424, 0.401, 0.057], [0.943, 0.599, 0.023], [0.656, 0.599, 0.576], [0.594, 0.901, 0.174], [0.307, 0.901, 0.727]], "raw_formation_energy_ev_per_atom": -1.66, "space_group": "I4_1/a (88)"}

=====

{"formula": "La5Cu5O13", "functional": "GGA-PBEsol", "state": "optimized geometry", "lattice": [[3.848, 0.000, 0.000], [0.000, 8.414, 0.015], [0.000, -0.016, 8.415]], "species": ["La", "La", "La", "La", "La", "Cu", "Cu", "Cu", "Cu", "Cu", "O", "O", "O", "O", "O", "O", "O", "O", "O", "O", "O", "O", "O"], "frac_coords": [[0.500, 0.275, 0.137], [0.500, 0.863, 0.275], [0.500, 0.500, 0.500], [0.500, 0.137, 0.725], [0.500, 0.725, 0.863], [0.000, 0.000, 0.000], [0.000, 0.576, 0.167], [0.000, 0.167, 0.424], [0.000, 0.833, 0.576], [0.000, 0.424, 0.833], [0.500, 0.000, 0.000], [0.000, 0.764, 0.047], [0.500, 0.575, 0.175], [0.000, 0.048, 0.235], [0.000, 0.392, 0.294], [0.000, 0.706, 0.392], [0.500, 0.175, 0.425], [0.500, 0.825, 0.575], [0.000, 0.294, 0.608], [0.000, 0.608, 0.706], [0.000, 0.952, 0.765], [0.500, 0.425, 0.825], [0.000, 0.236, 0.953]], "raw_formation_energy_ev_per_atom": -2.17, "space_group": "P4/m (83)"}